# 1
Crystalline FeAg at its relaxed geometry. Source: Alexandria, functional PBE.

```
data_FeAg
_cell_length_a 2.8211
_cell_length_b 2.8211
_cell_length_c 8.8055
_cell_angle_alpha 90.00
_cell_angle_beta 90.00
_cell_angle_gamma 120.00
_space_group_name_H-M_alt 'P -3 m 1'
_space_group_IT_number 164
_space_group_name_Hall '-P 3 2"'
loop_
_atom_site_label
_atom_site_fract_x
_atom_site_fract_y
_atom_site_fract_z
Fe1 0.3333 0.6667 0.4029
Ag1 0.3333 0.6667 0.8575
```

Properties
Energy of formation from the pure elements = 293 meV/atom
Raw total energy = -5.364 eV per atom
M_tot = 2.5 μB/f.u.

# 2
Crystalline FeAg3 at its relaxed geometry. Source: Alexandria, functional PBE.

```
data_FeAg3
_cell_length_a 6.4357
_cell_length_b 6.4357
_cell_length_c 6.4357
_cell_angle_alpha 90.00
_cell_angle_beta 90.00
_cell_angle_gamma 90.00
_space_group_name_H-M_alt 'F m -3 m'
_space_group_IT_number 225
_space_group_name_Hall '-F 4 2 3'
loop_
_atom_site_label
_atom_site_fract_x
_atom_site_fract_y
_atom_site_fract_z
Fe1 0.0000 0.0000 0.0000
Ag1 0.0000 0.0000 0.5000
Ag2 0.2500 0.2500 0.2500
```

Properties
Energy of formation from the pure elements = 362 meV/atom
Raw total energy = -3.892 eV per atom
M_tot = 2.9 μB/f.u.

# 3
Crystalline FeAg3 at its relaxed geometry. Source: Alexandria, functional PBE.

```
data_FeAg3
_cell_length_a 2.8167
_cell_length_b 3.9486
_cell_length_c 5.9800
_cell_angle_alpha 90.00
_cell_angle_beta 90.00
_cell_angle_gamma 90.00
_space_group_name_H-M_alt 'P m m m'
_space_group_IT_number 47
loop_
_space_group_symop_operation_xyz
'x,y,z'
'-x,-y,-z'
'-x,-y,z'
'x,y,-z'
'x,-y,-z'
'-x,y,z'
'-x,y,-z'
'x,-y,z'
loop_
_atom_site_label
_atom_site_fract_x
_atom_site_fract_y
_atom_site_fract_z
Fe1 0.0000 0.0000 0.0000
Ag1 0.0000 0.0000 0.5000
Ag2 0.5000 0.5000 0.2364
```

Properties
Energy of formation from the pure elements = 294 meV/atom
Raw total energy = -3.960 eV per atom
M_tot = 2.9 μB/f.u.

# 4
Crystalline FeAg at its relaxed geometry. Source: Alexandria, functional PBE.

```
data_FeAg
_cell_length_a 2.9299
_cell_length_b 4.6210
_cell_length_c 8.9354
_cell_angle_alpha 90.00
_cell_angle_beta 90.00
_cell_angle_gamma 90.00
_space_group_name_H-M_alt 'I m m a'
_space_group_IT_number 74
_space_group_name_Hall '-I 2b 2'
loop_
_atom_site_label
_atom_site_fract_x
_atom_site_fract_y
_atom_site_fract_z
Fe1 0.0000 0.2500 0.1477
Ag1 0.0000 0.2500 0.6123
```

Properties
Energy of formation from the pure elements = 390 meV/atom
Raw total energy = -5.267 eV per atom
M_tot = 2.7 μB/f.u.

What is the formula in the first record?
FeAg